[1]
Density functional theory data (PBE) for a relaxed structure of ErCo2H6.

The symmetry is C2/m, No. 12. The calculation puts the total energy at -4.52 eV per atom.

a b c (Å): 4.387 4.387 5.903
angles (deg): 117.33 117.33 47.71
Element x y z (fractional)
Er 0.000 0.000 0.000
Co 0.192 0.192 0.601
Co 0.808 0.808 0.399
H 0.019 0.019 0.660
H 0.292 0.292 0.405
H 0.313 0.313 0.912
H 0.687 0.687 0.088
H 0.708 0.708 0.595
H 0.981 0.981 0.340


[2]
Density functional theory data (PBE) for a relaxed structure of PmHoBi2.

The symmetry is P4/mmm, No. 123. Its formation enthalpy at 0 K is -0.678 eV per atom.

a b c (Å): 5.890 5.890 3.428
angles (deg): 90.00 90.00 90.00
Element x y z (fractional)
Pm 0.000 0.000 0.000
Ho 0.500 0.500 0.000
Bi 0.000 0.500 0.500
Bi 0.500 0.000 0.500


[3]
Density functional theory data (PBE) for a relaxed structure of Sc4AlCu2Ru.

The symmetry is R-3m, No. 166. Its formation enthalpy at 0 K is -0.426 eV per atom.

a b c (Å): 8.070 8.070 8.070
angles (deg): 33.45 33.45 33.45
Element x y z (fractional)
Sc 0.118 0.118 0.118
Sc 0.370 0.370 0.370
Sc 0.630 0.630 0.630
Sc 0.882 0.882 0.882
Al 0.500 0.500 0.500
Cu 0.244 0.244 0.244
Cu 0.756 0.756 0.756
Ru 0.000 0.000 0.000


[4]
Density functional theory data (PBE) for a relaxed structure of POsPb3.

The symmetry is Pm-3m, No. 221. Its formation enthalpy at 0 K is 1.447 eV per atom.

a b c (Å): 5.290 5.290 5.290
angles (deg): 90.00 90.00 90.00
Element x y z (fractional)
P 0.000 0.000 0.000
Os 0.500 0.500 0.500
Pb 0.000 0.000 0.500
Pb 0.000 0.500 0.000
Pb 0.500 0.000 0.000


[5]
Density functional theory data (PBE) for a relaxed structure of Sr2PPd.

The symmetry is I-42d, No. 122. Its formation enthalpy at 0 K is -0.206 eV per atom.

a b c (Å): 9.335 9.335 9.335
angles (deg): 142.89 142.89 53.49
Element x y z (fractional)
Sr 0.117 0.625 0.992
Sr 0.375 0.367 0.492
Sr 0.633 0.125 0.008
Sr 0.875 0.883 0.508
P 0.000 0.000 0.000
P 0.750 0.250 0.500
Pd 0.250 0.750 0.500
Pd 0.500 0.500 0.000


[6]
Density functional theory data (PBE) for a relaxed structure of LiSiS2.

The symmetry is Pm, No. 6. The calculation puts the uncorrected formation energy at -0.882 eV/atom.

a b c (Å): 6.296 3.463 7.088
angles (deg): 90.00 95.96 90.00
Element x y z (fractional)
Li 0.000 0.000 0.000
Li 0.001 0.000 0.500
Si 0.461 0.500 0.836
Si 0.540 0.500 0.164
S 0.133 0.500 0.755
S 0.361 0.000 0.261
S 0.639 0.000 0.738
S 0.867 0.500 0.245